Record 1
Entry from Alexandria via LeMat-Bulk: an optimized crystal structure of PmEr6Sc3 (PBE).

a b c (Å): 10.617 10.617 6.167
angles (deg): 90.00 90.00 122.36
Sites, in units of the cell vectors:
Pm 0.211 0.789 0.500
Pm 0.789 0.211 0.000
Er 0.029 0.437 0.652
Er 0.046 0.954 0.155
Er 0.294 0.367 0.816
Er 0.312 0.688 0.965
Er 0.367 0.294 0.316
Er 0.437 0.029 0.152
Er 0.563 0.971 0.652
Er 0.633 0.706 0.816
Er 0.688 0.312 0.465
Er 0.706 0.633 0.316
Er 0.954 0.046 0.655
Er 0.971 0.563 0.152
Sc 0.079 0.306 0.223
Sc 0.306 0.079 0.723
Sc 0.385 0.615 0.424
Sc 0.615 0.385 0.924
Sc 0.694 0.921 0.223
Sc 0.921 0.694 0.723

Formation energy ... 163 meV per atom
Energy above the lowest structure with this stoichiometry ... 0.000 eV/atom
VASP energy ... -4.950 eV/atom
SG ... No. 36
Total magnetic moment ... 0.00 Bohr magnetons per cell

Record 2
Entry from Alexandria via LeMat-Bulk: an optimized crystal structure of Pm5Er4Sc2 (PBE).

a b c (Å): 11.006 11.006 11.006
angles (deg): 161.99 118.58 64.57
Sites, in units of the cell vectors:
Pm 0.000 0.000 0.000
Pm 0.107 0.323 0.784
Pm 0.461 0.677 0.784
Pm 0.539 0.323 0.216
Pm 0.893 0.677 0.216
Er 0.275 0.500 0.775
Er 0.411 0.911 0.500
Er 0.589 0.089 0.500
Er 0.725 0.500 0.225
Sc 0.219 0.719 0.500
Sc 0.781 0.281 0.500

Formation energy ... 232 meV per atom
Energy above the lowest structure with this stoichiometry ... 0.150 eV/atom
VASP energy ... -4.737 eV/atom
SG ... No. 71
Total magnetic moment ... 0.00 Bohr magnetons per cell

Record 3
Entry from Alexandria via LeMat-Bulk: an optimized crystal structure of Pm3ErSc (PBE).

a b c (Å): 3.517 17.379 10.650
angles (deg): 90.00 90.00 90.00
Sites, in units of the cell vectors:
Pm 0.239 0.250 0.000
Pm 0.239 0.250 0.500
Pm 0.258 0.577 0.060
Pm 0.258 0.577 0.440
Pm 0.258 0.923 0.560
Pm 0.258 0.923 0.940
Pm 0.742 0.077 0.060
Pm 0.742 0.077 0.440
Pm 0.742 0.423 0.560
Pm 0.742 0.423 0.940
Pm 0.761 0.750 0.000
Pm 0.761 0.750 0.500
Er 0.233 0.104 0.750
Er 0.233 0.396 0.250
Er 0.767 0.604 0.750
Er 0.767 0.896 0.250
Sc 0.265 0.728 0.250
Sc 0.265 0.772 0.750
Sc 0.735 0.228 0.250
Sc 0.735 0.272 0.750

Formation energy ... 158 meV per atom
Energy above the lowest structure with this stoichiometry ... 0.083 eV/atom
VASP energy ... -4.871 eV/atom
SG ... No. 57
Total magnetic moment ... 0.00 Bohr magnetons per cell

Record 4
Entry from Alexandria via LeMat-Bulk: an optimized crystal structure of Pm3Er4Sc2 (PBE).

a b c (Å): 9.443 9.443 6.296
angles (deg): 93.15 93.15 89.59
Sites, in units of the cell vectors:
Pm 0.029 0.971 0.750
Pm 0.182 0.606 0.896
Pm 0.394 0.818 0.604
Pm 0.606 0.182 0.396
Pm 0.818 0.394 0.104
Pm 0.971 0.029 0.250
Er 0.154 0.270 0.049
Er 0.270 0.154 0.549
Er 0.331 0.475 0.415
Er 0.475 0.331 0.915
Er 0.525 0.669 0.085
Er 0.669 0.525 0.585
Er 0.730 0.846 0.451
Er 0.846 0.730 0.951
Sc 0.035 0.675 0.402
Sc 0.325 0.965 0.098
Sc 0.675 0.035 0.902
Sc 0.965 0.325 0.598

Formation energy ... 141 meV per atom
Energy above the lowest structure with this stoichiometry ... 0.100 eV/atom
VASP energy ... -4.878 eV/atom
SG ... No. 15
Total magnetic moment ... 0.00 Bohr magnetons per cell

Record 5
Entry from Alexandria via LeMat-Bulk: an optimized crystal structure of Pm6ErSc8 (PBE).

a b c (Å): 7.922 7.922 7.922
angles (deg): 71.66 71.66 71.66
Sites, in units of the cell vectors:
Pm 0.169 0.621 0.427
Pm 0.379 0.573 0.831
Pm 0.427 0.169 0.621
Pm 0.573 0.831 0.379
Pm 0.621 0.427 0.169
Pm 0.831 0.379 0.573
Er 0.000 0.000 0.000
Sc 0.048 0.379 0.873
Sc 0.127 0.952 0.621
Sc 0.226 0.226 0.226
Sc 0.379 0.873 0.048
Sc 0.621 0.127 0.952
Sc 0.774 0.774 0.774
Sc 0.873 0.048 0.379
Sc 0.952 0.621 0.127

Formation energy ... 183 meV per atom
VASP energy ... -5.398 eV/atom
SG ... No. 148
Total magnetic moment ... 0.00 Bohr magnetons per cell

Record 6
Entry from Alexandria via LeMat-Bulk: an optimized crystal structure of Pm4Er6Sc (PBE).

a b c (Å): 10.061 9.328 6.707
angles (deg): 75.76 63.98 40.25
Sites, in units of the cell vectors:
Pm 0.006 0.600 0.994
Pm 0.211 0.789 0.211
Pm 0.600 0.006 0.400
Pm 0.789 0.211 0.789
Er 0.115 0.537 0.463
Er 0.163 0.163 0.337
Er 0.315 0.724 0.685
Er 0.537 0.115 0.885
Er 0.663 0.663 0.837
Er 0.724 0.315 0.276
Sc 0.162 0.162 0.838

Formation energy ... 281 meV per atom
VASP energy ... -4.511 eV/atom
SG ... No. 42
Total magnetic moment ... 0.00 Bohr magnetons per cell

Record 7
Entry from Alexandria via LeMat-Bulk: an optimized crystal structure of PmEr10Sc4 (PBE).

a b c (Å): 8.668 8.668 8.668
angles (deg): 104.14 104.14 120.76
Sites, in units of the cell vectors:
Pm 0.000 0.000 0.000
Er 0.031 0.695 0.101
Er 0.070 0.969 0.664
Er 0.250 0.750 0.500
Er 0.305 0.406 0.336
Er 0.406 0.070 0.101
Er 0.594 0.930 0.899
Er 0.695 0.594 0.664
Er 0.750 0.250 0.500
Er 0.930 0.031 0.336
Er 0.969 0.305 0.899
Sc 0.273 0.448 0.722
Sc 0.448 0.727 0.175
Sc 0.552 0.273 0.825
Sc 0.727 0.552 0.278

Formation energy ... 593 meV per atom
VASP energy ... -4.454 eV/atom
SG ... No. 87
Total magnetic moment ... 0.00 Bohr magnetons per cell

Record 8
Entry from Alexandria via LeMat-Bulk: an optimized crystal structure of Pm6Er3Sc2 (PBE).

a b c (Å): 16.487 16.487 16.487
angles (deg): 163.44 163.44 23.50
Sites, in units of the cell vectors:
Pm 0.115 0.615 0.500
Pm 0.198 0.198 0.000
Pm 0.385 0.885 0.500
Pm 0.615 0.115 0.500
Pm 0.802 0.802 0.000
Pm 0.885 0.385 0.500
Er 0.304 0.304 0.000
Er 0.500 0.500 0.000
Er 0.696 0.696 0.000
Sc 0.043 0.043 0.000
Sc 0.957 0.957 0.000

Formation energy ... 316 meV per atom
Energy above the lowest structure with this stoichiometry ... 0.221 eV/atom
VASP energy ... -4.671 eV/atom
SG ... No. 139
Total magnetic moment ... 0.00 Bohr magnetons per cell